(1)
CrAu after structural relaxation, computed with GGA-PBE.

a b c (Å): 9.325 3.769 5.911
angles (deg): 90.00 109.03 90.00
Space group Cm (No. 8)
Inequivalent atoms, fractional coordinates:
Cr1 0.000 0.000 0.000 x2
Cr2 0.001 0.000 0.518 x2
Cr3 0.148 0.500 0.827 x2
Au1 0.153 0.500 0.335 x2
Au2 0.326 0.000 0.161 x2
Au3 0.332 0.000 0.678 x2

Values from the calculation:
The value obtained for the density is 12.6 g/cm3. The calculation puts the electronic total energy at -6.296 eV per atom. Its crystal system is monoclinic.

(2)
U2Cd2Pt15 after structural relaxation, computed with GGA-PBE.

a b c (Å): 9.2304 9.2304 13.9626
angles (deg): 90.00 90.00 120.00
Space group R-3m (No. 166, hexagonal axes)
Inequivalent atoms, fractional coordinates:
U1 0.0000 0.0000 0.0870 x6
Cd1 0.0000 0.0000 0.3662 x6
Pt1 0.0000 0.3224 0.0000 x18
Pt2 0.0000 0.5000 0.5000 x9
Pt3 0.0011 0.5005 0.1600 x18

Values from the calculation:
The value obtained for the density is 17.5 g/cm3. The calculation puts the electronic total energy at -6.321 eV per atom. Its crystal system is trigonal.